Run A
Entry from Alexandria via LeMat-Bulk: an optimized crystal structure of LiTiSb2I (PBE).

Structure (POSCAR):
```
LiTiSb2I
1.0
-2.232 -0.765 4.271
3.896 -2.466 1.595
2.133 4.627 1.943
I Sb Li Ti
1 2 1 1
direct
0.000 0.000 0.500
0.000 0.500 0.000
0.500 0.000 0.000
0.000 0.000 0.000
0.500 0.500 0.500
```

Properties
mass density = 5.4 g cm⁻³
space group = P4/mmm

***

Run B
Entry from Alexandria via LeMat-Bulk: an optimized crystal structure of LiTiSb2I (PBE).

Structure (POSCAR):
```
LiTiSb2I
1.0
-0.836 -4.760 1.903
5.103 -0.586 0.775
-0.592 2.384 5.702
I Sb Li Ti
1 2 1 1
direct
0.000 0.000 0.500
0.000 0.500 0.000
0.500 0.000 0.000
0.500 0.500 0.500
0.000 0.000 0.000
```

Properties
mass density = 4.2 g cm⁻³
space group = P4/mmm

***

It is run B that is the most stable of them.

***

Run A
Entry from Alexandria via LeMat-Bulk: an optimized crystal structure of LiTlSbI2 (PBE).

Structure (POSCAR):
```
LiTlSbI2
1.0
5.686 0.000 0.000
0.000 5.686 0.000
0.000 0.000 5.181
I Sb Tl Li
2 1 1 1
direct
0.000 0.500 0.000
0.500 0.000 0.000
0.000 0.000 0.500
0.500 0.500 0.500
0.000 0.000 0.000
```

Properties
mass density = 5.8 g cm⁻³
space group = P4/mmm

***

Run B
Entry from Alexandria via LeMat-Bulk: an optimized crystal structure of LiTlSbI2 (PBE).

Structure (POSCAR):
```
LiTlSbI2
1.0
6.476 0.000 0.000
0.000 6.476 0.000
0.000 0.000 5.799
I Sb Tl Li
2 1 1 1
direct
0.000 0.500 0.000
0.500 0.000 0.000
0.000 0.000 0.500
0.000 0.000 0.000
0.500 0.500 0.500
```

Properties
mass density = 4.0 g cm⁻³
space group = P4/mmm

***

It is run A that is the most stable of them.

***

Run A
Entry from Alexandria via LeMat-Bulk: an optimized crystal structure of LiVSbI2 (PBE).

Structure (POSCAR):
```
LiVSbI2
1.0
-2.120 -4.715 -2.473
3.525 0.752 -4.455
3.616 -2.873 2.377
I Sb Li V
2 1 1 1
direct
0.000 0.500 0.000
0.500 0.000 0.000
0.000 0.000 0.500
0.500 0.500 0.500
0.000 0.000 0.000
```

Properties
mass density = 4.2 g cm⁻³
space group = P4/mmm

***

Run B
Entry from Alexandria via LeMat-Bulk: an optimized crystal structure of LiVSbI2 (PBE).

Structure (POSCAR):
```
LiVSbI2
1.0
-0.516 -3.238 -4.044
4.252 -2.587 1.529
-2.995 -3.188 2.935
I Sb Li V
2 1 1 1
direct
0.000 0.500 0.000
0.500 0.000 0.000
0.000 0.000 0.500
0.000 0.000 0.000
0.500 0.500 0.500
```

Properties
mass density = 5.0 g cm⁻³
space group = P4/mmm

***

It is run A that is the most stable of them.

***

Run A
Entry from Alexandria via LeMat-Bulk: an optimized crystal structure of LiSbWI2 (PBE).

Structure (POSCAR):
```
LiSbWI2
1.0
-4.799 -1.214 3.080
0.809 -5.690 -0.982
2.874 -0.341 4.344
I Sb W Li
2 1 1 1
direct
0.000 0.500 0.000
0.500 0.000 0.000
0.000 0.000 0.500
0.000 0.000 0.000
0.500 0.500 0.500
```

Properties
mass density = 5.3 g cm⁻³
space group = P4/mmm

***

Run B
Entry from Alexandria via LeMat-Bulk: an optimized crystal structure of LiSbWI2 (PBE).

Structure (POSCAR):
```
LiSbWI2
1.0
-0.499 -0.810 5.052
0.013 -5.077 -0.812
5.276 -0.068 0.511
I Sb W Li
2 1 1 1
direct
0.000 0.500 0.000
0.500 0.000 0.000
0.000 0.000 0.500
0.500 0.500 0.500
0.000 0.000 0.000
```

Properties
mass density = 6.7 g cm⁻³
space group = P4/mmm

***

It is run A that is the most stable of them.

***

Run A
Entry from Alexandria via LeMat-Bulk: an optimized crystal structure of LiYSb2I (PBE).

Structure (POSCAR):
```
LiYSb2I
1.0
4.937 0.000 0.000
0.000 4.937 0.000
0.000 0.000 5.705
I Sb Y Li
1 2 1 1
direct
0.000 0.000 0.500
0.000 0.500 0.000
0.500 0.000 0.000
0.500 0.500 0.500
0.000 0.000 0.000
```

Properties
mass density = 5.6 g cm⁻³
space group = P4/mmm

***

Run B
Entry from Alexandria via LeMat-Bulk: an optimized crystal structure of LiYSb2I (PBE).

Structure (POSCAR):
```
LiYSb2I
1.0
5.857 0.000 0.000
0.000 5.857 0.000
0.000 0.000 6.105
I Sb Y Li
1 2 1 1
direct
0.000 0.000 0.500
0.000 0.500 0.000
0.500 0.000 0.000
0.000 0.000 0.000
0.500 0.500 0.500
```

Properties
mass density = 3.7 g cm⁻³
space group = P4/mmm

***

It is run A that is the most stable of them.

***

Run A
Entry from Alexandria via LeMat-Bulk: an optimized crystal structure of LiZrSbI2 (PBE).

Structure (POSCAR):
```
LiZrSbI2
1.0
-1.755 3.694 2.880
1.886 -2.258 4.046
4.839 2.827 -0.678
I Sb Zr Li
2 1 1 1
direct
0.000 0.500 0.000
0.500 0.000 0.000
0.000 0.000 0.500
0.500 0.500 0.500
0.000 0.000 0.000
```

Properties
mass density = 5.6 g cm⁻³
space group = P4/mmm

***

Run B
Entry from Alexandria via LeMat-Bulk: an optimized crystal structure of LiZrSbI2 (PBE).

Structure (POSCAR):
```
LiZrSbI2
1.0
5.823 0.000 0.000
0.000 5.823 0.000
0.000 0.000 5.645
I Sb Zr Li
2 1 1 1
direct
0.000 0.500 0.000
0.500 0.000 0.000
0.000 0.000 0.500
0.000 0.000 0.000
0.500 0.500 0.500
```

Properties
mass density = 4.1 g cm⁻³
space group = P4/mmm

***

It is run B that is the most stable of them.

***

Run A
Entry from Alexandria via LeMat-Bulk: an optimized crystal structure of Li2ScI5 (PBE).

Structure (POSCAR):
```
Li2ScI5
1.0
5.897 0.000 0.000
-2.948 9.360 0.000
0.000 0.000 13.110
Li Sc I
4 2 10
direct
0.801 0.601 0.451
0.801 0.601 0.049
0.199 0.399 0.549
0.199 0.399 0.951
0.807 0.613 0.750
0.193 0.387 0.250
0.909 0.818 0.903
0.909 0.818 0.597
0.311 0.622 0.406
0.311 0.622 0.094
0.720 0.440 0.250
0.280 0.560 0.750
0.689 0.378 0.594
0.689 0.378 0.906
0.091 0.182 0.097
0.091 0.182 0.403
```

Properties
mass density = 3.2 g cm⁻³
space group = Cmcm

***

Run B
Entry from Alexandria via LeMat-Bulk: an optimized crystal structure of Li2ScI5 (PBE).

Structure (POSCAR):
```
Li2ScI5
1.0
-5.664 3.889 -1.136
-5.205 -2.577 -5.114
-6.228 -1.284 4.410
Li Sc I
2 1 5
direct
0.588 0.603 0.033
0.588 0.033 0.603
0.979 0.023 0.023
0.712 0.318 0.318
0.058 0.320 0.751
0.058 0.751 0.320
0.400 0.742 0.742
0.617 0.988 0.988
```

Properties
mass density = 3.5 g cm⁻³
space group = Cm

***

It is run A that is the most stable of them.

***

Run A
Entry from Alexandria via LeMat-Bulk: an optimized crystal structure of LiSc2I6 (PBE).

Structure (POSCAR):
```
LiSc2I6
1.0
-1.320 3.891 -0.382
-6.505 -4.207 1.919
7.742 3.529 9.197
Li Sc I
1 2 6
direct
0.000 0.000 0.500
0.661 0.322 0.825
0.339 0.678 0.175
0.008 0.015 0.752
0.678 0.356 0.076
0.322 0.644 0.924
0.657 0.314 0.597
0.343 0.686 0.403
0.992 0.985 0.248
```

Properties
mass density = 4.1 g cm⁻³
space group = C2/m

***

Run B
Entry from Alexandria via LeMat-Bulk: an optimized crystal structure of LiSc2I6 (PBE).

Structure (POSCAR):
```
LiSc2I6
1.0
-0.060 -5.970 4.484
-2.288 -10.571 -3.569
8.758 -7.204 1.060
Li Sc I
2 4 12
direct
0.250 0.251 0.749
0.750 0.749 0.251
0.001 0.654 0.846
0.499 0.154 0.346
0.999 0.346 0.154
0.501 0.846 0.654
0.372 0.716 0.556
0.128 0.444 0.284
0.628 0.284 0.444
0.872 0.556 0.716
0.870 0.867 0.367
0.630 0.633 0.133
0.130 0.133 0.633
0.370 0.367 0.867
0.130 0.784 0.944
0.370 0.056 0.216
0.870 0.216 0.056
0.630 0.944 0.784
```

Properties
mass density = 4.3 g cm⁻³
space group = C2/c

***

It is run A that is the most stable of them.